# 1
Compound: TlZn3Ni
Source: the Alexandria database
Functional: PBE
Structure: optimized geometry

Calculated values
Polymorph energy (0 for the lowest one): 0.000 eV/atom
Magnetic moment: 0.00 Bohr magnetons per cell
Space group: Pm-3m, No. 221

Unit cell a=4.680 b=4.680 c=4.680 alpha=90.00 beta=90.00 gamma=90.00
Atoms (fractional coordinates):
Tl  0.000  0.000  0.000
Zn  0.000  0.500  0.500
Zn  0.500  0.000  0.500
Zn  0.500  0.500  0.000
Ni  0.500  0.500  0.500



# 2
Compound: Tl2ZnNi2
Source: the Alexandria database
Functional: PBE
Structure: optimized geometry

Calculated values
Magnetic moment: 0.00 Bohr magnetons per cell
Space group: P4/mbm, No. 127

Unit cell a=6.653 b=6.653 c=3.906 alpha=90.00 beta=90.00 gamma=90.00
Atoms (fractional coordinates):
Tl  0.167  0.333  0.000
Tl  0.333  0.833  0.000
Tl  0.667  0.167  0.000
Tl  0.833  0.667  0.000
Zn  0.000  0.000  0.500
Zn  0.500  0.500  0.500
Ni  0.139  0.639  0.500
Ni  0.361  0.139  0.500
Ni  0.639  0.861  0.500
Ni  0.861  0.361  0.500



# 3
Compound: TlZn3Ni
Source: the Alexandria database
Functional: PBE
Structure: optimized geometry

Calculated values
Polymorph energy (0 for the lowest one): 0.995 eV/atom
Magnetic moment: 0.82 Bohr magnetons per cell
Space group: Pm-3m, No. 221

Unit cell a=5.120 b=5.120 c=5.120 alpha=90.00 beta=90.00 gamma=90.00
Atoms (fractional coordinates):
Tl  0.000  0.000  0.000
Zn  0.000  0.000  0.500
Zn  0.000  0.500  0.000
Zn  0.500  0.000  0.000
Ni  0.500  0.500  0.500



# 4
Compound: TlZnNi2
Source: the Alexandria database
Functional: PBE
Structure: optimized geometry

Calculated values
Polymorph energy (0 for the lowest one): 0.073 eV/atom
Magnetic moment: 0.00 Bohr magnetons per cell
Space group: Cm, No. 8

Unit cell a=4.940 b=4.940 c=4.268 alpha=108.24 beta=108.24 gamma=37.07
Atoms (fractional coordinates):
Tl  0.000  0.000  0.000
Zn  0.229  0.229  0.655
Ni  0.489  0.489  0.495
Ni  0.754  0.754  0.190



# 5
Compound: TlZn2Ni2
Source: the Alexandria database
Functional: PBE
Structure: optimized geometry

Calculated values
Polymorph energy (0 for the lowest one): 0.061 eV/atom
Magnetic moment: 0.00 Bohr magnetons per cell
Space group: I4/mmm, No. 139

Unit cell a=6.460 b=6.460 c=6.460 alpha=147.38 beta=147.38 gamma=46.80
Atoms (fractional coordinates):
Tl  0.000  0.000  0.000
Zn  0.250  0.750  0.500
Zn  0.750  0.250  0.500
Ni  0.398  0.398  0.000
Ni  0.602  0.602  0.000



# 6
Compound: Tl3ZnNi
Source: the Alexandria database
Functional: PBE
Structure: optimized geometry

Calculated values
Polymorph energy (0 for the lowest one): 0.555 eV/atom
Magnetic moment: 0.54 Bohr magnetons per cell
Space group: Pm-3m, No. 221

Unit cell a=5.295 b=5.295 c=5.295 alpha=90.00 beta=90.00 gamma=90.00
Atoms (fractional coordinates):
Tl  0.000  0.000  0.500
Tl  0.000  0.500  0.000
Tl  0.500  0.000  0.000
Zn  0.000  0.000  0.000
Ni  0.500  0.500  0.500



no.,mass density (g/cm³),formation energy from the elements (eV/atom)
1,7.4,0.123
2,11.4,0.170
3,5.7,1.119
4,10.8,0.172
5,9.6,0.087
6,8.2,0.760